1.
DFT (PBE-GGA) results for CdCu4Pd7 after structural relaxation.

DOS(E_F): 11.18 states/eV/f.u.
formation energy from the elements: 145 meV/atom
V: 16.248 A^3/atom
ρ: 9.47 g cm⁻³
space-group type: No. 12

Unit cell a=5.6219 b=5.6219 c=9.2854 alpha=118.08 beta=118.08 gamma=51.16
Last column: nearest neighbours and their distance in Å.
Positions (direct):
Cd 0.0000 0.0000 0.0000  4 Pd 2.43-2.64
Cu 0.2814 0.2814 0.6840  1 Cu 2.58, 6 Pd 2.58-2.70
Cu 0.4332 0.4332 0.2330  8 Pd 2.55-2.80, 1 Cu 2.58
Cu 0.5668 0.5668 0.7670  8 Pd 2.55-2.80, 1 Cu 2.58
Cu 0.7186 0.7186 0.3160  1 Cu 2.58, 6 Pd 2.58-2.70
Pd 0.0438 0.0438 0.3808  3 Cu 2.58-2.73, 5 Pd 2.61-2.82
Pd 0.2113 0.2113 0.9155  4 Cu 2.59-2.80, 4 Pd 2.61-2.77, 1 Cd 2.64
Pd 0.3415 0.3415 0.4417  5 Cu 2.55-2.70, 4 Pd 2.77-2.82
Pd 0.5000 0.5000 0.0000  2 Cd 2.43, 4 Cu 2.58-2.60, 2 Pd 2.61
Pd 0.6585 0.6585 0.5583  5 Cu 2.55-2.70, 4 Pd 2.77-2.82
Pd 0.7887 0.7887 0.0845  4 Cu 2.59-2.80, 4 Pd 2.61-2.77, 1 Cd 2.64
Pd 0.9562 0.9562 0.6192  3 Cu 2.58-2.73, 5 Pd 2.61-2.82



2.
DFT (PBE-GGA) results for CdCu2Pd9 after structural relaxation.

DOS(E_F): 15.64 states/eV/f.u.
formation energy from the elements: -111 meV/atom
V: 15.288 A^3/atom
ρ: 10.84 g cm⁻³
space-group type: No. 123

Unit cell a=3.9453 b=3.9453 c=11.7867 alpha=90.00 beta=90.00 gamma=90.00
Last column: nearest neighbours and their distance in Å.
Positions (direct):
Cd 0.0000 0.0000 0.0000  12 Pd 2.79-2.87
Cu 0.0000 0.0000 0.3384  12 Pd 2.74-2.79
Cu 0.0000 0.0000 0.6616  12 Pd 2.74-2.79
Pd 0.0000 0.5000 0.1771  2 Cu 2.74, 8 Pd 2.74-2.87, 2 Cd 2.87
Pd 0.0000 0.5000 0.5000  8 Pd 2.74-2.79, 4 Cu 2.74
Pd 0.0000 0.5000 0.8229  2 Cu 2.74, 8 Pd 2.74-2.87, 2 Cd 2.87
Pd 0.5000 0.0000 0.1771  2 Cu 2.74, 8 Pd 2.74-2.87, 2 Cd 2.87
Pd 0.5000 0.0000 0.5000  8 Pd 2.74-2.79, 4 Cu 2.74
Pd 0.5000 0.0000 0.8229  2 Cu 2.74, 8 Pd 2.74-2.87, 2 Cd 2.87
Pd 0.5000 0.5000 0.0000  4 Cd 2.79, 8 Pd 2.87
Pd 0.5000 0.5000 0.3388  8 Pd 2.74, 4 Cu 2.79
Pd 0.5000 0.5000 0.6612  8 Pd 2.74, 4 Cu 2.79



3.
DFT (PBE-GGA) results for CdCu3Pd3 after structural relaxation.

DOS(E_F): 2.26 states/eV/f.u.
formation energy from the elements: 3 meV/atom
V: 15.526 A^3/atom
ρ: 9.51 g cm⁻³
space-group type: No. 148

Unit cell a=7.7487 b=7.7487 c=7.7487 alpha=45.72 beta=45.72 gamma=45.72
Last column: nearest neighbours and their distance in Å.
Positions (direct):
Cd 0.1940 0.1940 0.1940  6 Pd 2.72-2.78, 3 Cu 2.75
Cd 0.8060 0.8060 0.8060  6 Pd 2.72-2.78, 3 Cu 2.75
Cu 0.0942 0.2617 0.5647  5 Cu 2.45-2.49, 3 Pd 2.53-2.68
Cu 0.2617 0.5647 0.0942  5 Cu 2.45-2.49, 3 Pd 2.53-2.68
Cu 0.4353 0.9058 0.7383  5 Cu 2.45-2.49, 3 Pd 2.53-2.68
Cu 0.5647 0.0942 0.2617  5 Cu 2.45-2.49, 3 Pd 2.53-2.68
Cu 0.7383 0.4353 0.9058  5 Cu 2.45-2.49, 3 Pd 2.53-2.68
Cu 0.9058 0.7383 0.4353  5 Cu 2.45-2.49, 3 Pd 2.53-2.68
Pd 0.2271 0.3423 0.7365  3 Cu 2.53-2.68, 2 Cd 2.72-2.78, 2 Pd 2.79
Pd 0.2635 0.7729 0.6577  3 Cu 2.53-2.68, 2 Cd 2.72-2.78, 2 Pd 2.79
Pd 0.3423 0.7365 0.2271  3 Cu 2.53-2.68, 2 Cd 2.72-2.78, 2 Pd 2.79
Pd 0.6577 0.2635 0.7729  3 Cu 2.53-2.68, 2 Cd 2.72-2.78, 2 Pd 2.79
Pd 0.7365 0.2271 0.3423  3 Cu 2.53-2.68, 2 Cd 2.72-2.78, 2 Pd 2.79
Pd 0.7729 0.6577 0.2635  3 Cu 2.53-2.68, 2 Cd 2.72-2.78, 2 Pd 2.79



4.
DFT (PBE-GGA) results for CdCu5Pd4 after structural relaxation.

DOS(E_F): 4.32 states/eV/f.u.
formation energy from the elements: -10 meV/atom
V: 15.086 A^3/atom
ρ: 9.42 g cm⁻³
space-group type: No. 12

Unit cell a=5.0913 b=5.0913 c=7.6734 alpha=95.31 beta=95.31 gamma=49.68
Last column: nearest neighbours and their distance in Å.
Positions (direct):
Cd 0.0000 0.0000 0.0000  2 Pd 2.72, 6 Cu 2.84-2.87
Cu 0.0000 0.0000 0.5000  6 Pd 2.48-2.61, 2 Cu 2.51
Cu 0.2545 0.2545 0.4137  4 Cu 2.51-2.78, 5 Pd 2.56-2.78
Cu 0.3110 0.3110 0.0651  4 Pd 2.54-2.59, 3 Cu 2.57-2.78, 2 Cd 2.84
Cu 0.6890 0.6890 0.9349  4 Pd 2.54-2.59, 3 Cu 2.57-2.78, 2 Cd 2.84
Cu 0.7455 0.7455 0.5863  4 Cu 2.51-2.78, 5 Pd 2.56-2.78
Pd 0.1907 0.1907 0.7520  7 Cu 2.48-2.72, 1 Pd 2.71, 1 Cd 2.72
Pd 0.4739 0.4739 0.6895  5 Cu 2.59-2.78, 1 Pd 2.71
Pd 0.5261 0.5261 0.3105  5 Cu 2.59-2.78, 1 Pd 2.71
Pd 0.8093 0.8093 0.2480  7 Cu 2.48-2.72, 1 Pd 2.71, 1 Cd 2.72



5.
DFT (PBE-GGA) results for Cd2CuPd2 after structural relaxation.

DOS(E_F): 2.54 states/eV/f.u.
formation energy from the elements: 241 meV/atom
V: 19.852 A^3/atom
ρ: 8.38 g cm⁻³
space-group type: No. 139

Unit cell a=3.9363 b=3.9363 c=12.8128 alpha=90.00 beta=90.00 gamma=90.00
Last column: nearest neighbours and their distance in Å.
Positions (direct):
Cd 0.0000 0.5000 0.2500  4 Pd 2.75, 4 Cd 2.78
Cd 0.0000 0.5000 0.7500  4 Pd 2.75, 4 Cd 2.78
Cd 0.5000 0.0000 0.2500  4 Pd 2.75, 4 Cd 2.78
Cd 0.5000 0.0000 0.7500  4 Pd 2.75, 4 Cd 2.78
Cu 0.0000 0.0000 0.0000  8 Pd 3.06
Cu 0.5000 0.5000 0.5000  8 Pd 3.06
Pd 0.0000 0.0000 0.4003  1 Pd 2.56, 4 Cd 2.75
Pd 0.0000 0.0000 0.5997  1 Pd 2.56, 4 Cd 2.75
Pd 0.5000 0.5000 0.0997  1 Pd 2.56, 4 Cd 2.75
Pd 0.5000 0.5000 0.9003  1 Pd 2.56, 4 Cd 2.75



6.
DFT (PBE-GGA) results for CdCuPd3 after structural relaxation.

DOS(E_F): 4.48 states/eV/f.u.
formation energy from the elements: 450 meV/atom
V: 19.673 A^3/atom
ρ: 8.36 g cm⁻³
space-group type: No. 221

Unit cell a=4.6161 b=4.6161 c=4.6161 alpha=90.00 beta=90.00 gamma=90.00
Last column: nearest neighbours and their distance in Å.
Positions (direct):
Cd 0.0000 0.0000 0.0000  12 Pd 3.26
Cu 0.5000 0.5000 0.5000  6 Pd 2.31
Pd 0.0000 0.5000 0.5000  2 Cu 2.31
Pd 0.5000 0.0000 0.5000  2 Cu 2.31
Pd 0.5000 0.5000 0.0000  2 Cu 2.31



7.
DFT (PBE-GGA) results for Cd4CuPd15 after structural relaxation.

DOS(E_F): 26.43 states/eV/f.u.
formation energy from the elements: -202 meV/atom
V: 16.111 A^3/atom
ρ: 10.87 g cm⁻³
space-group type: No. 123

Unit cell a=4.0212 b=4.0212 c=19.9275 alpha=90.00 beta=90.00 gamma=90.00
Last column: nearest neighbours and their distance in Å.
Positions (direct):
Cd 0.0000 0.0000 0.1019  12 Pd 2.84-2.86
Cd 0.0000 0.0000 0.3053  12 Pd 2.84-2.86
Cd 0.0000 0.0000 0.6947  12 Pd 2.84-2.86
Cd 0.0000 0.0000 0.8981  12 Pd 2.84-2.86
Cu 0.0000 0.0000 0.5000  12 Pd 2.73-2.84
Pd 0.0000 0.5000 0.0000  8 Pd 2.84-2.86, 4 Cd 2.86
Pd 0.0000 0.5000 0.2039  8 Pd 2.84-2.86, 4 Cd 2.85-2.86
Pd 0.0000 0.5000 0.4074  8 Pd 2.73-2.85, 2 Cu 2.73, 2 Cd 2.86
Pd 0.0000 0.5000 0.5926  8 Pd 2.73-2.85, 2 Cu 2.73, 2 Cd 2.86
Pd 0.0000 0.5000 0.7961  8 Pd 2.84-2.86, 4 Cd 2.85-2.86
Pd 0.5000 0.0000 0.0000  8 Pd 2.84-2.86, 4 Cd 2.86
Pd 0.5000 0.0000 0.2039  8 Pd 2.84-2.86, 4 Cd 2.85-2.86
Pd 0.5000 0.0000 0.4074  8 Pd 2.73-2.85, 2 Cu 2.73, 2 Cd 2.86
Pd 0.5000 0.0000 0.5926  8 Pd 2.73-2.85, 2 Cu 2.73, 2 Cd 2.86
Pd 0.5000 0.0000 0.7961  8 Pd 2.84-2.86, 4 Cd 2.85-2.86
Pd 0.5000 0.5000 0.1020  4 Cd 2.84, 8 Pd 2.86
Pd 0.5000 0.5000 0.3061  4 Cd 2.84, 8 Pd 2.85-2.86
Pd 0.5000 0.5000 0.5000  8 Pd 2.73, 4 Cu 2.84
Pd 0.5000 0.5000 0.6939  4 Cd 2.84, 8 Pd 2.85-2.86
Pd 0.5000 0.5000 0.8980  4 Cd 2.84, 8 Pd 2.86



8.
DFT (PBE-GGA) results for CdCuPd after structural relaxation.

DOS(E_F): 0.97 states/eV/f.u.
formation energy from the elements: -165 meV/atom
V: 15.877 A^3/atom
ρ: 9.84 g cm⁻³
space-group type: No. 107

Unit cell a=3.1722 b=3.1722 c=9.4670 alpha=90.00 beta=90.00 gamma=90.00
Last column: nearest neighbours and their distance in Å.
Positions (direct):
Cd 0.0000 0.0000 0.0000  4 Cu 2.76, 5 Pd 2.84-3.00
Cd 0.5000 0.5000 0.5000  4 Cu 2.76, 5 Pd 2.84-3.00
Cu 0.0000 0.0000 0.3298  4 Pd 2.64, 4 Cd 2.76
Cu 0.5000 0.5000 0.8298  4 Pd 2.64, 4 Cd 2.76
Pd 0.0000 0.0000 0.6833  4 Cu 2.64, 4 Cd 2.84
Pd 0.5000 0.5000 0.1833  4 Cu 2.64, 4 Cd 2.84



9.
DFT (PBE-GGA) results for CdCuPd2 after structural relaxation.

DOS(E_F): 1.22 states/eV/f.u.
formation energy from the elements: -272 meV/atom
V: 15.632 A^3/atom
ρ: 10.32 g cm⁻³
space-group type: No. 123

Unit cell a=3.0698 b=3.0698 c=6.6354 alpha=90.00 beta=90.00 gamma=90.00
Last column: nearest neighbours and their distance in Å.
Positions (direct):
Cd 0.0000 0.0000 0.0000  8 Pd 2.84, 4 Cd 3.07
Cu 0.0000 0.0000 0.5000  8 Pd 2.63
Pd 0.5000 0.5000 0.2763  4 Cu 2.63, 4 Cd 2.84
Pd 0.5000 0.5000 0.7237  4 Cu 2.63, 4 Cd 2.84



10.
DFT (PBE-GGA) results for Cd2CuPd2 after structural relaxation.

DOS(E_F): 1.20 states/eV/f.u.
formation energy from the elements: -28 meV/atom
V: 18.223 A^3/atom
ρ: 9.13 g cm⁻³
space-group type: No. 127

Unit cell a=7.5036 b=7.5036 c=3.2365 alpha=90.00 beta=90.00 gamma=90.00
Last column: nearest neighbours and their distance in Å.
Positions (direct):
Cd 0.1497 0.3503 0.0000  6 Pd 2.68-2.76, 2 Cu 2.86
Cd 0.3503 0.8503 0.0000  6 Pd 2.68-2.76, 2 Cu 2.86
Cd 0.6497 0.1497 0.0000  6 Pd 2.68-2.76, 2 Cu 2.86
Cd 0.8503 0.6497 0.0000  6 Pd 2.68-2.76, 2 Cu 2.86
Cu 0.0000 0.0000 0.0000  4 Cd 2.86
Cu 0.5000 0.5000 0.0000  4 Cd 2.86
Pd 0.1488 0.6488 0.5000  6 Cd 2.68-2.76
Pd 0.3512 0.1488 0.5000  6 Cd 2.68-2.76
Pd 0.6488 0.8512 0.5000  6 Cd 2.68-2.76
Pd 0.8512 0.3512 0.5000  6 Cd 2.68-2.76



11.
DFT (PBE-GGA) results for CdCu2Pd3 after structural relaxation.

DOS(E_F): 1.94 states/eV/f.u.
formation energy from the elements: -225 meV/atom
V: 15.013 A^3/atom
ρ: 10.30 g cm⁻³
space-group type: No. 123

Unit cell a=3.0847 b=3.0847 c=9.4667 alpha=90.00 beta=90.00 gamma=90.00
Last column: nearest neighbours and their distance in Å.
Positions (direct):
Cd 0.0000 0.0000 0.0000  8 Pd 2.83, 4 Cd 3.08
Cu 0.0000 0.0000 0.3472  8 Pd 2.62-2.64, 1 Cu 2.89
Cu 0.0000 0.0000 0.6528  8 Pd 2.62-2.64, 1 Cu 2.89
Pd 0.5000 0.5000 0.1905  4 Cu 2.64, 4 Cd 2.83, 1 Pd 2.93
Pd 0.5000 0.5000 0.5000  8 Cu 2.62, 2 Pd 2.93
Pd 0.5000 0.5000 0.8095  4 Cu 2.64, 4 Cd 2.83, 1 Pd 2.93